No. 1
{"formula": "ZnPd5Pt2Au2", "functional": "PBE", "state": "relaxed", "e_form_ev_per_atom": 0.00, "total_energy_ev_per_atom": -4.591, "crystal_system": "tetragonal", "magnetic_moment_mub_per_fu": 0.0, "dos_at_fermi_per_ev_atom": 1.0694, "cell": [[-0.001, 2.798, 0.330], [-1.584, 1.259, -10.670], [-10.744, -0.190, 1.573]], "species": ["Zn", "Zn", "Au", "Au", "Au", "Au", "Pt", "Pt", "Pt", "Pt", "Pd", "Pd", "Pd", "Pd", "Pd", "Pd", "Pd", "Pd", "Pd", "Pd"], "fractional_positions": [[0.000, 0.500, 0.500], [0.000, 0.000, 0.000], [0.000, 0.333, 0.833], [0.000, 0.667, 0.167], [0.000, 0.833, 0.667], [0.000, 0.167, 0.333], [0.000, 0.846, 0.346], [0.000, 0.654, 0.846], [0.000, 0.154, 0.654], [0.000, 0.346, 0.154], [0.500, 0.695, 0.494], [0.500, 0.000, 0.500], [0.500, 0.506, 0.695], [0.500, 0.006, 0.805], [0.500, 0.195, 0.006], [0.500, 0.994, 0.195], [0.500, 0.805, 0.994], [0.500, 0.494, 0.305], [0.500, 0.500, 0.000], [0.500, 0.305, 0.506]]}



No. 2
{"formula": "Zn5Pd2PtAu2", "functional": "PBE", "state": "relaxed", "e_form_ev_per_atom": -0.34, "total_energy_ev_per_atom": -3.276, "crystal_system": "tetragonal", "magnetic_moment_mub_per_fu": 0.0, "dos_at_fermi_per_ev_atom": 0.1805, "cell": [[2.856, 0.000, 0.000], [0.000, 10.764, 0.000], [0.000, 0.000, 10.764]], "species": ["Au", "Au", "Au", "Au", "Pd", "Pd", "Pd", "Pd", "Zn", "Zn", "Zn", "Zn", "Zn", "Zn", "Zn", "Zn", "Zn", "Zn", "Pt", "Pt"], "fractional_positions": [[0.000, 0.849, 0.651], [0.000, 0.349, 0.849], [0.000, 0.151, 0.349], [0.000, 0.651, 0.151], [0.000, 0.356, 0.144], [0.000, 0.856, 0.356], [0.000, 0.644, 0.856], [0.000, 0.144, 0.644], [0.500, 0.344, 0.628], [0.500, 0.656, 0.372], [0.500, 0.628, 0.656], [0.500, 0.500, 0.000], [0.500, 0.156, 0.128], [0.500, 0.872, 0.156], [0.500, 0.372, 0.344], [0.500, 0.844, 0.872], [0.500, 0.000, 0.500], [0.500, 0.128, 0.844], [0.000, 0.000, 0.000], [0.000, 0.500, 0.500]]}